The following is a PBE+U calculation of a relaxed structure of PaCrO4, from the Alexandria database.

Structure (extended XYZ):
```
12
Lattice="5.083 0.000 0.000 0.000 5.283 0.000 0.000 0.000 5.817" Properties=species:S:1:pos:R:3 pbc="T T T"
Pa 0.000 2.641 1.022
Pa 2.541 2.641 3.930
Cr 0.000 0.000 4.916
Cr 2.541 0.000 2.007
O 3.880 0.891 0.604
O 4.041 3.622 5.154
O 1.339 4.392 3.512
O 3.583 3.622 2.245
O 1.203 4.392 0.604
O 3.744 0.891 3.512
O 1.499 1.661 2.245
O 1.042 1.661 5.154
```

V in Å³/atom: 13.02
Space group: Pnc2, No. 30
Size of the total moment in μB per atom: 0.500
Total energy in eV/atom: -8.980